1.
Ca2SbAu2: optimized geometry, GGA-PBEsol.

Values from the calculation:
formation energy (no corrections) = -0.7582 eV/atom
calculated density = 8.4 g cm⁻³
crystal system = tetragonal
total moment = 0.000 μB/cell
electronic total energy = -4.0925 eV per atom

Lattice parameters (Å, degrees): 7.947 7.947 3.718 90.00 90.00 90.00
Space group P4/mbm (No. 127)
Symmetry-distinct sites (fractional):
Ca 0.174 0.326 0.000 x4
Sb 0.000 0.000 0.500 x2
Au 0.122 0.622 0.500 x4

---

2.
Ca2SbAu: optimized geometry, GGA-PBEsol.

Values from the calculation:
formation energy (no corrections) = -0.8712 eV/atom
calculated density = 6.2 g cm⁻³
crystal system = orthorhombic
total moment = 0.000 μB/cell
electronic total energy = -4.0581 eV per atom

Lattice parameters (Å, degrees): 4.504 4.206 11.265 90.00 90.00 90.00
Space group Amm2 (No. 38)
Symmetry-distinct sites (fractional):
Ca 0.000 0.000 0.000 x2
Ca 0.500 0.000 0.282 x2
Sb 0.000 0.000 0.718 x2
Au 0.500 0.000 0.554 x2

---

3.
Ca3SbAu: optimized geometry, GGA-PBEsol.

Values from the calculation:
formation energy (no corrections) = -0.1773 eV/atom
calculated density = 3.8 g cm⁻³
crystal system = cubic
total moment = 0.002 μB/cell
electronic total energy = -3.1534 eV per atom

Lattice parameters (Å, degrees): 5.754 5.754 5.754 90.00 90.00 90.00
Space group Pm-3m (No. 221)
Symmetry-distinct sites (fractional):
Ca 0.000 0.000 0.500 x3
Sb 0.000 0.000 0.000 x1
Au 0.500 0.500 0.500 x1

---

4.
Ca2SbAu: optimized geometry, GGA-PBEsol.

Values from the calculation:
formation energy (no corrections) = -0.4103 eV/atom
calculated density = 6.7 g cm⁻³
crystal system = cubic
total moment = 0.000 μB/cell
electronic total energy = -3.5972 eV per atom

Lattice parameters (Å, degrees): 7.353 7.353 7.353 90.00 90.00 90.00
Space group F-43m (No. 216)
Symmetry-distinct sites (fractional):
Ca 0.000 0.000 0.000 x4
Ca 0.250 0.250 0.250 x4
Sb 0.250 0.250 0.750 x4
Au 0.000 0.000 0.500 x4

---

5.
CaSb2Au2: optimized geometry, GGA-PBEsol.

Values from the calculation:
formation energy (no corrections) = -0.3552 eV/atom
calculated density = 9.3 g cm⁻³
crystal system = tetragonal
total moment = 0.000 μB/cell
electronic total energy = -4.1744 eV per atom

Lattice parameters (Å, degrees): 4.293 4.293 13.144 90.00 90.00 90.00
Space group I4/mmm (No. 139)
Symmetry-distinct sites (fractional):
Ca 0.000 0.000 0.000 x2
Sb 0.000 0.000 0.386 x4
Au 0.000 0.500 0.250 x4

---

6.
CaTiSb2Au: optimized geometry, GGA-PBEsol.

Values from the calculation:
formation energy (no corrections) = 0.2561 eV/atom
calculated density = 6.1 g cm⁻³
crystal system = tetragonal
total moment = 2.295 μB/cell
electronic total energy = -4.4427 eV per atom

Lattice parameters (Å, degrees): 5.400 5.400 4.973 90.00 90.00 90.00
Space group P4/mmm (No. 123)
Symmetry-distinct sites (fractional):
Ca 0.000 0.000 0.000 x1
Ti 0.500 0.500 0.000 x1
Sb 0.000 0.500 0.500 x2
Au 0.500 0.500 0.500 x1

---

7.
CaScAu2: optimized geometry, GGA-PBEsol.

Values from the calculation:
calculated density = 9.8 g cm⁻³
formation enthalpy at 0 K = -0.74 eV per atom
crystal system = tetragonal
total moment = 0.000 μB/cell
electronic total energy = -4.8894 eV per atom

Lattice parameters (Å, degrees): 4.914 4.914 3.369 90.00 90.00 90.00
Space group P4/mmm (No. 123)
Symmetry-distinct sites (fractional):
Ca 0.000 0.000 0.000 x1
Sc 0.500 0.500 0.000 x1
Au 0.000 0.500 0.500 x2

---

8.
CaScAu2: optimized geometry, GGA-PBEsol.

Values from the calculation:
calculated density = 8.5 g cm⁻³
formation enthalpy at 0 K = -0.61 eV per atom
crystal system = trigonal
total moment = 0.000 μB/cell
electronic total energy = -4.7522 eV per atom

Lattice parameters (Å, degrees): 4.0528 4.0528 19.8171 90.00 90.00 120.00
Space group R-3m (No. 166, hexagonal axes)
Symmetry-distinct sites (fractional):
Ca 0.0000 0.0000 0.0000 x3
Sc 0.0000 0.0000 0.5000 x3
Au 0.0000 0.0000 0.2378 x6

---

9.
CaScAu2: optimized geometry, GGA-PBEsol.

Values from the calculation:
calculated density = 9.3 g cm⁻³
formation enthalpy at 0 K = -0.72 eV per atom
crystal system = orthorhombic
total moment = 0.000 μB/cell
electronic total energy = -4.8715 eV per atom

Lattice parameters (Å, degrees): 4.619 3.495 10.574 90.00 90.00 90.00
Space group Amm2 (No. 38)
Symmetry-distinct sites (fractional):
Ca 0.000 0.000 0.000 x2
Sc 0.500 0.000 0.279 x2
Au 0.000 0.000 0.731 x2
Au 0.500 0.000 0.560 x2

---

10.
CaScAu2: optimized geometry, GGA-PBEsol.

Values from the calculation:
calculated density = 9.0 g cm⁻³
formation enthalpy at 0 K = -0.58 eV per atom
crystal system = tetragonal
total moment = 0.000 μB/cell
electronic total energy = -4.7301 eV per atom

Lattice parameters (Å, degrees): 3.871 3.871 5.915 90.00 90.00 90.00
Space group P4mm (No. 99)
Symmetry-distinct sites (fractional):
Ca 0.000 0.000 0.000 x1
Sc 0.500 0.500 0.383 x1
Au 0.000 0.000 0.499 x1
Au 0.500 0.500 0.855 x1

---

11.
Ca2Au2Se: optimized geometry, GGA-PBEsol.

Values from the calculation:
formation energy (no corrections) = -0.9975 eV/atom
calculated density = 7.9 g cm⁻³
crystal system = tetragonal
total moment = 0.000 μB/cell
electronic total energy = -4.1904 eV per atom

Lattice parameters (Å, degrees): 3.778 3.778 16.353 90.00 90.00 90.00
Space group I4/mmm (No. 139)
Symmetry-distinct sites (fractional):
Ca 0.000 0.000 0.104 x4
Au 0.000 0.500 0.250 x4
Se 0.000 0.000 0.500 x2

---

12.
CaAu4Se: optimized geometry, GGA-PBEsol.

Values from the calculation:
formation energy (no corrections) = -0.4515 eV/atom
calculated density = 12.8 g cm⁻³
crystal system = cubic
total moment = 0.000 μB/cell
electronic total energy = -4.0647 eV per atom

Lattice parameters (Å, degrees): 7.780 7.780 7.780 90.00 90.00 90.00
Space group F-43m (No. 216)
Symmetry-distinct sites (fractional):
Ca 0.000 0.000 0.000 x4
Au 0.125 0.125 0.625 x16
Se 0.250 0.250 0.250 x4

---

13.
Ca2AuSe2: optimized geometry, GGA-PBEsol.

Values from the calculation:
formation energy (no corrections) = -1.2381 eV/atom
calculated density = 6.3 g cm⁻³
crystal system = tetragonal
total moment = 0.000 μB/cell
electronic total energy = -4.4162 eV per atom

Lattice parameters (Å, degrees): 7.795 7.795 3.758 90.00 90.00 90.00
Space group P4/mbm (No. 127)
Symmetry-distinct sites (fractional):
Ca 0.155 0.345 0.000 x4
Au 0.000 0.000 0.500 x2
Se 0.155 0.655 0.500 x4

---

14.
CaSiAu: optimized geometry, GGA-PBEsol.

Values from the calculation:
formation energy (no corrections) = -0.7373 eV/atom
calculated density = 7.5 g cm⁻³
crystal system = orthorhombic
total moment = 0.000 μB/cell
electronic total energy = -4.6720 eV per atom

Lattice parameters (Å, degrees): 4.399 7.013 7.570 90.00 90.00 90.00
Space group Imm2 (No. 44)
Symmetry-distinct sites (fractional):
Ca 0.000 0.000 0.000 x2
Ca 0.000 0.500 0.078 x2
Si 0.000 0.319 0.707 x4
Au 0.000 0.219 0.376 x4

---

15.
CaSiAu: optimized geometry, GGA-PBEsol.

Values from the calculation:
formation energy (no corrections) = 0.2346 eV/atom
calculated density = 6.2 g cm⁻³
crystal system = cubic
total moment = 0.000 μB/cell
electronic total energy = -3.7000 eV per atom

Lattice parameters (Å, degrees): 6.585 6.585 6.585 90.00 90.00 90.00
Space group F-43m (No. 216)
Symmetry-distinct sites (fractional):
Ca 0.000 0.000 0.000 x4
Si 0.250 0.250 0.750 x4
Au 0.250 0.250 0.250 x4

---

16.
CaSiAu: optimized geometry, GGA-PBEsol.

Values from the calculation:
formation energy (no corrections) = -0.6869 eV/atom
calculated density = 7.3 g cm⁻³
crystal system = hexagonal
total moment = 0.000 μB/cell
electronic total energy = -4.6215 eV per atom

Lattice parameters (Å, degrees): 4.3480 4.3480 3.7037 90.00 90.00 120.00
Space group P-6m2 (No. 187)
Symmetry-distinct sites (fractional):
Ca 0.0000 0.0000 0.0000 x1
Si 0.6667 0.3333 0.5000 x1
Au 0.3333 0.6667 0.5000 x1

---

17.
CaSi2Au2: optimized geometry, GGA-PBEsol.

Values from the calculation:
formation energy (no corrections) = -0.5478 eV/atom
calculated density = 8.8 g cm⁻³
crystal system = tetragonal
total moment = 0.000 μB/cell
electronic total energy = -4.8427 eV per atom

Lattice parameters (Å, degrees): 4.299 4.299 9.984 90.00 90.00 90.00
Space group I4/mmm (No. 139)
Symmetry-distinct sites (fractional):
Ca 0.000 0.000 0.000 x2
Si 0.000 0.000 0.384 x4
Au 0.000 0.500 0.250 x4

---

18.
CaSn2Au: optimized geometry, GGA-PBEsol.

Values from the calculation:
calculated density = 8.5 g cm⁻³
formation enthalpy at 0 K = -0.30 eV per atom
crystal system = cubic
total moment = 0.000 μB/cell
electronic total energy = -3.9399 eV per atom

Lattice parameters (Å, degrees): 7.185 7.185 7.185 90.00 90.00 90.00
Space group Fm-3m (No. 225)
Symmetry-distinct sites (fractional):
Ca 0.000 0.000 0.000 x4
Sn 0.250 0.250 0.250 x8
Au 0.000 0.000 0.500 x4

---

19.
CaSnAu: optimized geometry, GGA-PBEsol.

Values from the calculation:
calculated density = 8.5 g cm⁻³
formation enthalpy at 0 K = -0.77 eV per atom
crystal system = orthorhombic
total moment = 0.000 μB/cell
electronic total energy = -4.2098 eV per atom

Lattice parameters (Å, degrees): 7.329 4.674 8.107 90.00 90.00 90.00
Space group Pnma (No. 62)
Symmetry-distinct sites (fractional):
Ca 0.006 0.250 0.204 x4
Sn 0.190 0.250 0.587 x4
Au 0.206 0.750 0.413 x4

---

20.
CaSnAu: optimized geometry, GGA-PBEsol.

Values from the calculation:
calculated density = 8.5 g cm⁻³
formation enthalpy at 0 K = -0.76 eV per atom
crystal system = orthorhombic
total moment = 0.000 μB/cell
electronic total energy = -4.1977 eV per atom

Lattice parameters (Å, degrees): 4.709 7.209 8.170 90.00 90.00 90.00
Space group Imm2 (No. 44)
Symmetry-distinct sites (fractional):
Ca 0.000 0.000 0.000 x2
Ca 0.000 0.500 0.060 x2
Sn 0.000 0.209 0.364 x4
Au 0.000 0.278 0.694 x4

---

21.
SrCa2Au: optimized geometry, GGA-PBEsol.

Values from the calculation:
ΔE to the lowest computed polymorph = 0.000 eV per atom
calculated density = 4.6 g cm⁻³
formation enthalpy at 0 K = -0.38 eV per atom
crystal system = tetragonal
total moment = 0.000 μB/cell
electronic total energy = -2.8868 eV per atom

Lattice parameters (Å, degrees): 3.712 3.712 9.600 90.00 90.00 90.00
Space group P4/mmm (No. 123)
Symmetry-distinct sites (fractional):
Sr 0.000 0.000 0.000 x1
Ca 0.500 0.500 0.326 x2
Au 0.000 0.000 0.500 x1

---

22.
SrCa2Au: optimized geometry, GGA-PBEsol.

Values from the calculation:
ΔE to the lowest computed polymorph = 0.005 eV per atom
calculated density = 4.6 g cm⁻³
formation enthalpy at 0 K = -0.37 eV per atom
crystal system = tetragonal
total moment = 0.000 μB/cell
electronic total energy = -2.8818 eV per atom

Lattice parameters (Å, degrees): 3.748 3.748 9.471 90.00 90.00 90.00
Space group P4mm (No. 99)
Symmetry-distinct sites (fractional):
Sr 0.000 0.000 0.000 x1
Ca 0.000 0.000 0.367 x1
Ca 0.500 0.500 0.669 x1
Au 0.500 0.500 0.200 x1

---

23.
SrCaAu: optimized geometry, GGA-PBEsol.

Values from the calculation:
ΔE to the lowest computed polymorph = 0.025 eV per atom
calculated density = 5.5 g cm⁻³
formation enthalpy at 0 K = -0.48 eV per atom
crystal system = cubic
total moment = 0.001 μB/cell
electronic total energy = -3.1142 eV per atom

Lattice parameters (Å, degrees): 7.335 7.335 7.335 90.00 90.00 90.00
Space group F-43m (No. 216)
Symmetry-distinct sites (fractional):
Sr 0.000 0.000 0.000 x4
Ca 0.000 0.000 0.500 x4
Au 0.250 0.250 0.250 x4

---

24.
SrCaAu: optimized geometry, GGA-PBEsol.

Values from the calculation:
ΔE to the lowest computed polymorph = 0.000 eV per atom
calculated density = 5.8 g cm⁻³
formation enthalpy at 0 K = -0.51 eV per atom
crystal system = tetragonal
total moment = 0.000 μB/cell
electronic total energy = -3.1391 eV per atom

Lattice parameters (Å, degrees): 3.729 3.729 13.385 90.00 90.00 90.00
Space group I4mm (No. 107)
Symmetry-distinct sites (fractional):
Sr 0.000 0.000 0.000 x2
Ca 0.000 0.000 0.740 x2
Au 0.000 0.000 0.359 x2

---

25.
SrCa2Au: optimized geometry, GGA-PBEsol.

Values from the calculation:
ΔE to the lowest computed polymorph = 0.015 eV per atom
calculated density = 4.5 g cm⁻³
formation enthalpy at 0 K = -0.36 eV per atom
crystal system = orthorhombic
total moment = 0.000 μB/cell
electronic total energy = -2.8722 eV per atom

Lattice parameters (Å, degrees): 3.774 5.749 12.293 90.00 90.00 90.00
Space group Immm (No. 71)
Symmetry-distinct sites (fractional):
Sr 0.000 0.000 0.000 x2
Ca 0.000 0.500 0.187 x4
Au 0.000 0.000 0.500 x2

---

26.
CaTaAu3: optimized geometry, GGA-PBEsol.

Values from the calculation:
calculated density = 11.4 g cm⁻³
formation enthalpy at 0 K = 1.40 eV per atom
crystal system = cubic
total moment = 2.109 μB/cell
electronic total energy = -3.8918 eV per atom

Lattice parameters (Å, degrees): 4.912 4.912 4.912 90.00 90.00 90.00
Space group Pm-3m (No. 221)
Symmetry-distinct sites (fractional):
Ca 0.000 0.000 0.000 x1
Ta 0.500 0.500 0.500 x1
Au 0.000 0.000 0.500 x3

---

27.
CaTaAu2: optimized geometry, GGA-PBEsol.

Values from the calculation:
calculated density = 12.0 g cm⁻³
formation enthalpy at 0 K = 0.01 eV per atom
crystal system = monoclinic
total moment = 0.000 μB/cell
electronic total energy = -5.6253 eV per atom

Lattice parameters (Å, degrees): 8.537 3.088 6.533 90.00 99.63 90.00
Space group C2/m (No. 12)
Symmetry-distinct sites (fractional):
Ca 0.000 0.000 0.000 x2
Ta 0.000 0.500 0.500 x2
Au 0.245 0.000 0.699 x4

---

28.
CaTa2Au: optimized geometry, GGA-PBEsol.

Values from the calculation:
calculated density = 12.4 g cm⁻³
formation enthalpy at 0 K = 0.15 eV per atom
crystal system = orthorhombic
total moment = 0.000 μB/cell
electronic total energy = -7.6350 eV per atom

Lattice parameters (Å, degrees): 2.987 4.840 11.061 90.00 90.00 90.00
Space group Immm (No. 71)
Symmetry-distinct sites (fractional):
Ca 0.000 0.000 0.000 x2
Ta 0.000 0.500 0.221 x4
Au 0.000 0.000 0.500 x2

---

29.
CaTaAu: optimized geometry, GGA-PBEsol.

Values from the calculation:
calculated density = 9.8 g cm⁻³
formation enthalpy at 0 K = 1.48 eV per atom
crystal system = cubic
total moment = 8.534 μB/cell
electronic total energy = -4.7208 eV per atom

Lattice parameters (Å, degrees): 6.568 6.568 6.568 90.00 90.00 90.00
Space group F-43m (No. 216)
Symmetry-distinct sites (fractional):
Ca 0.000 0.000 0.000 x4
Ta 0.250 0.250 0.250 x4
Au 0.250 0.250 0.750 x4